Material: MnVAg3
Method: DFT, PBE-GGA
State: optimized geometry

E_form = 1.214 eV/atom
Symmetry = Pm-3m, No. 221
DFT total energy = -4.155 eV per atom
Magnetic moment = 1.582 μB per atom
Energy above the most stable polymorph in this dataset = 0.000 eV per atom

Cell: 4.8631 4.8631 4.8631 Å, 90.00 90.00 90.00°
Site moments in Bohr magnetons follow the coordinates.
Element x y z (fractional)
Mn1 0.0000 0.0000 0.0000  3.94
Ag1 0.5000 0.0000 0.0000  0.09
Ag2 0.0000 0.0000 0.5000  0.09
V1 0.5000 0.5000 0.5000  2.90
Ag3 0.0000 0.5000 0.0000  0.09